A plane-wave DFT calculation with PBE-GGA was carried out for a geometry-optimized ZrSc3 structure.

The calculation puts the formation energy at 0.035 eV/atom. The density of states at the Fermi level is 1.655 states/eV/atom. The calculation puts the energy above the lowest structure with this stoichiometry at 0.045 eV per atom.

The space group is R-3m (No. 166, hexagonal axes) and the conventional cell measures 3.2319, 3.2319 and 31.8064 Å, with angles of 90.00, 90.00 and 120.00 degrees. The asymmetric unit holds Zr at (0.0000, 0.0000, 0.0000), Sc at (0.0000, 0.0000, 0.2521) and Sc at (0.0000, 0.0000, 0.5000).